Computed, not measured: a geometry-optimized LaCr3 structure at the GGA-PBEsol level of DFT.

The structure in CIF format:
```
data_LaCr3
_symmetry_space_group_name_H-M 'P 1'
_symmetry_Int_Tables_number 1
_symmetry_space_group_name_Hall 'P 1'
_cell_length_a 3.1661
_cell_length_b 4.5962
_cell_length_c 4.5962
_cell_angle_alpha 90.00
_cell_angle_beta 90.00
_cell_angle_gamma 90.00
loop_
_atom_site_label
_atom_site_type_symbol
_atom_site_fract_x
_atom_site_fract_y
_atom_site_fract_z
Cr1 Cr 0.0000 0.5000 0.0000
Cr2 Cr 0.5000 0.5000 0.5000
Cr3 Cr 0.0000 0.0000 0.5000
La1 La 0.5000 0.0000 0.0000
```

Computed properties:
The value obtained for the formation energy is 328 kJ/mol of formula units. As for the symmetry: P4/mmm (123). As for the total energy: -8.168 eV per atom.



Computed, not measured: a geometry-optimized Sb2MoCI structure at the GGA-PBEsol level of DFT.

The structure in CIF format:
```
data_Sb2MoCI
_symmetry_space_group_name_H-M 'P 1'
_symmetry_Int_Tables_number 1
_symmetry_space_group_name_Hall 'P 1'
_cell_length_a 4.6743
_cell_length_b 4.6743
_cell_length_c 4.5656
_cell_angle_alpha 90.00
_cell_angle_beta 90.00
_cell_angle_gamma 90.00
loop_
_atom_site_label
_atom_site_type_symbol
_atom_site_fract_x
_atom_site_fract_y
_atom_site_fract_z
Sb1 Sb 0.5000 0.0000 0.0000
Sb2 Sb 0.0000 0.5000 0.0000
Mo1 Mo 0.5000 0.5000 0.5000
C1 C 0.0000 0.0000 0.0000
I1 I 0.0000 0.0000 0.5000
```

Computed properties:
As for the symmetry: P4/mmm (123). As for the uncorrected formation energy: 1.47 eV/atom. As for the total energy: -4.986 eV per atom.



Computed, not measured: a geometry-optimized SrZrH2Pt structure at the GGA-PBEsol level of DFT.

The structure in CIF format:
```
data_SrZrH2Pt
_symmetry_space_group_name_H-M 'P 1'
_symmetry_Int_Tables_number 1
_symmetry_space_group_name_Hall 'P 1'
_cell_length_a 3.9519
_cell_length_b 3.9519
_cell_length_c 6.6269
_cell_angle_alpha 90.00
_cell_angle_beta 90.00
_cell_angle_gamma 90.00
loop_
_atom_site_label
_atom_site_type_symbol
_atom_site_fract_x
_atom_site_fract_y
_atom_site_fract_z
H1 H 0.0000 0.5000 0.0000
H2 H 0.5000 0.0000 0.0000
Sr1 Sr 0.0000 0.0000 0.5000
Zr1 Zr 0.0000 0.0000 0.0000
Pt1 Pt 0.5000 0.5000 0.5000
```

Computed properties:
As for the symmetry: P4/mmm (123). As for the total energy: -4.434 eV per atom.



Computed, not measured: a geometry-optimized TaAl2Os structure at the GGA-PBEsol level of DFT.

The structure in CIF format:
```
data_TaAl2Os
_symmetry_space_group_name_H-M 'P 1'
_symmetry_Int_Tables_number 1
_symmetry_space_group_name_Hall 'P 1'
_cell_length_a 2.9799
_cell_length_b 4.6234
_cell_length_c 4.8475
_cell_angle_alpha 105.30
_cell_angle_beta 107.90
_cell_angle_gamma 90.00
loop_
_atom_site_label
_atom_site_type_symbol
_atom_site_fract_x
_atom_site_fract_y
_atom_site_fract_z
Al1 Al 0.2624 0.2638 0.5248
Al2 Al 0.7376 0.7362 0.4752
Os1 Os 0.0000 0.5000 0.0000
Ta1 Ta 0.5000 0.0000 0.0000
```

Computed properties:
The value obtained for the formation energy is -75 kJ/mol of formula units. As for the symmetry: C2/m (12). As for the total energy: -8.432 eV per atom.



Computed, not measured: a geometry-optimized MnW2Se structure at the GGA-PBEsol level of DFT.

The structure in CIF format:
```
data_MnW2Se
_symmetry_space_group_name_H-M 'P 1'
_symmetry_Int_Tables_number 1
_symmetry_space_group_name_Hall 'P 1'
_cell_length_a 2.9219
_cell_length_b 2.9219
_cell_length_c 6.6045
_cell_angle_alpha 90.00
_cell_angle_beta 90.00
_cell_angle_gamma 90.00
loop_
_atom_site_label
_atom_site_type_symbol
_atom_site_fract_x
_atom_site_fract_y
_atom_site_fract_z
Mn1 Mn 0.5000 0.5000 0.0000
Se1 Se 0.5000 0.5000 0.5000
W1 W 0.0000 0.0000 0.2368
W2 W 0.0000 0.0000 0.7632
```

Computed properties:
As for the symmetry: P4/mmm (123). As for the uncorrected formation energy: 0.26 eV/atom. As for the total energy: -10.047 eV per atom.



Computed, not measured: a geometry-optimized LaRh3 structure at the GGA-PBEsol level of DFT.

The structure in CIF format:
```
data_LaRh3
_symmetry_space_group_name_H-M 'P 1'
_symmetry_Int_Tables_number 1
_symmetry_space_group_name_Hall 'P 1'
_cell_length_a 5.2698
_cell_length_b 5.2698
_cell_length_c 17.5051
_cell_angle_alpha 90.00
_cell_angle_beta 90.00
_cell_angle_gamma 120.00
loop_
_atom_site_label
_atom_site_type_symbol
_atom_site_fract_x
_atom_site_fract_y
_atom_site_fract_z
Rh1 Rh 0.8334 0.1666 0.8718
Rh2 Rh 0.3333 0.6667 0.2500
Rh3 Rh 0.8334 0.6669 0.6282
Rh4 Rh 0.0000 0.0000 0.5000
Rh5 Rh 0.0000 0.0000 0.7500
Rh6 Rh 0.8334 0.1666 0.6282
Rh7 Rh 0.1666 0.8334 0.3718
Rh8 Rh 0.0000 0.0000 0.2500
Rh9 Rh 0.3331 0.1666 0.6282
Rh10 Rh 0.6669 0.8334 0.1282
Rh11 Rh 0.1666 0.3331 0.3718
Rh12 Rh 0.6667 0.3333 0.7500
Rh13 Rh 0.6669 0.8334 0.3718
Rh14 Rh 0.1666 0.3331 0.1282
Rh15 Rh 0.3331 0.1666 0.8718
Rh16 Rh 0.0000 0.0000 0.0000
Rh17 Rh 0.1666 0.8334 0.1282
Rh18 Rh 0.8334 0.6669 0.8718
La1 La 0.3333 0.6667 0.5418
La2 La 0.6667 0.3333 0.0418
La3 La 0.3333 0.6667 0.7500
La4 La 0.3333 0.6667 0.9582
La5 La 0.6667 0.3333 0.4582
La6 La 0.6667 0.3333 0.2500
```

Computed properties:
The value obtained for the formation energy is -187 kJ/mol of formula units. As for the symmetry: P6_3/mmc (194). As for the total energy: -7.925 eV per atom.



Computed, not measured: a geometry-optimized MnCd2Se structure at the GGA-PBEsol level of DFT.

The structure in CIF format:
```
data_MnCd2Se
_symmetry_space_group_name_H-M 'P 1'
_symmetry_Int_Tables_number 1
_symmetry_space_group_name_Hall 'P 1'
_cell_length_a 2.9760
_cell_length_b 4.6276
_cell_length_c 6.3415
_cell_angle_alpha 111.40
_cell_angle_beta 103.57
_cell_angle_gamma 90.00
loop_
_atom_site_label
_atom_site_type_symbol
_atom_site_fract_x
_atom_site_fract_y
_atom_site_fract_z
Cd1 Cd 0.8145 0.3145 0.6290
Cd2 Cd 0.9855 0.9855 0.9709
Se1 Se 0.1790 0.6790 0.3580
Mn1 Mn 0.5210 0.5210 0.0421
```

Computed properties:
As for the symmetry: Imm2 (44). As for the uncorrected formation energy: 0.07 eV/atom. As for the total energy: -3.935 eV per atom.



Computed, not measured: a geometry-optimized Sr2CuRhAu structure at the GGA-PBEsol level of DFT.

The structure in CIF format:
```
data_Sr2CuRhAu
_symmetry_space_group_name_H-M 'P 1'
_symmetry_Int_Tables_number 1
_symmetry_space_group_name_Hall 'P 1'
_cell_length_a 4.4471
_cell_length_b 5.5535
_cell_length_c 5.5535
_cell_angle_alpha 90.00
_cell_angle_beta 90.00
_cell_angle_gamma 90.00
loop_
_atom_site_label
_atom_site_type_symbol
_atom_site_fract_x
_atom_site_fract_y
_atom_site_fract_z
Rh1 Rh 0.5000 0.0000 0.0000
Sr1 Sr 0.0000 0.0000 0.5000
Sr2 Sr 0.0000 0.5000 0.0000
Au1 Au 0.5000 0.5000 0.5000
Cu1 Cu 0.0000 0.0000 0.0000
```

Computed properties:
The value obtained for the formation energy is 95 kJ/mol of formula units. As for the symmetry: P4/mmm (123). As for the total energy: -3.819 eV per atom.



Computed, not measured: a geometry-optimized In2RuRh structure at the GGA-PBEsol level of DFT.

The structure in CIF format:
```
data_In2RuRh
_symmetry_space_group_name_H-M 'P 1'
_symmetry_Int_Tables_number 1
_symmetry_space_group_name_Hall 'P 1'
_cell_length_a 2.9343
_cell_length_b 2.9343
_cell_length_c 8.0987
_cell_angle_alpha 90.00
_cell_angle_beta 90.00
_cell_angle_gamma 90.00
loop_
_atom_site_label
_atom_site_type_symbol
_atom_site_fract_x
_atom_site_fract_y
_atom_site_fract_z
In1 In 0.0000 0.0000 0.9604
In2 In 0.5000 0.5000 0.2892
Rh1 Rh 0.0000 0.0000 0.5278
Ru1 Ru 0.5000 0.5000 0.7226
```

Computed properties:
The value obtained for the formation energy is 41 kJ/mol of formula units. As for the symmetry: P4mm (99). As for the total energy: -5.963 eV per atom.



Computed, not measured: a geometry-optimized NiHgRh2C structure at the GGA-PBEsol level of DFT.

The structure in CIF format:
```
data_NiHgRh2C
_symmetry_space_group_name_H-M 'P 1'
_symmetry_Int_Tables_number 1
_symmetry_space_group_name_Hall 'P 1'
_cell_length_a 3.9062
_cell_length_b 3.9062
_cell_length_c 4.5226
_cell_angle_alpha 90.00
_cell_angle_beta 90.00
_cell_angle_gamma 90.00
loop_
_atom_site_label
_atom_site_type_symbol
_atom_site_fract_x
_atom_site_fract_y
_atom_site_fract_z
Hg1 Hg 0.0000 0.0000 0.5000
Rh1 Rh 0.5000 0.0000 0.0000
Rh2 Rh 0.0000 0.5000 0.0000
C1 C 0.0000 0.0000 0.0000
Ni1 Ni 0.5000 0.5000 0.5000
```

Computed properties:
The value obtained for the formation energy is 270 kJ/mol of formula units. As for the symmetry: P4/mmm (123). As for the total energy: -5.970 eV per atom.